Arrangement A

The following is a DFT calculation (PBE) of a relaxed BeWI2 crystal.

M_tot ... 0.0 μB per formula unit
Calculated density ... 9.5 g/cm³

a b c (Å): 6.7854 6.7854 6.7854
angles (deg): 90.00 90.00 90.00
Fractional coordinates of all 16 atoms:
Be: 0.0000 0.0000 0.0000
Be: 0.0000 0.5000 0.5000
Be: 0.5000 0.0000 0.5000
Be: 0.5000 0.5000 0.0000
W: 0.0000 0.0000 0.5000
W: 0.0000 0.5000 0.0000
W: 0.5000 0.0000 0.0000
W: 0.5000 0.5000 0.5000
I: 0.2500 0.2500 0.2500
I: 0.2500 0.2500 0.7500
I: 0.2500 0.7500 0.2500
I: 0.2500 0.7500 0.7500
I: 0.7500 0.2500 0.2500
I: 0.7500 0.2500 0.7500
I: 0.7500 0.7500 0.2500
I: 0.7500 0.7500 0.7500



Arrangement B

The following is a DFT calculation (PBE) of a relaxed BeWI2 crystal.

M_tot ... 0.0 μB per formula unit
Calculated density ... 7.5 g/cm³

a b c (Å): 5.9872 5.9872 11.0765
angles (deg): 90.00 90.00 90.00
Fractional coordinates of all 16 atoms:
Be: 0.0000 0.0000 0.0000
Be: 0.0000 0.5000 0.2500
Be: 0.5000 0.0000 0.7500
Be: 0.5000 0.5000 0.5000
W: 0.0000 0.0000 0.5000
W: 0.0000 0.5000 0.7500
W: 0.5000 0.0000 0.2500
W: 0.5000 0.5000 0.0000
I: 0.2183 0.2500 0.1250
I: 0.2500 0.7183 0.3750
I: 0.2500 0.7817 0.8750
I: 0.2817 0.2500 0.6250
I: 0.7183 0.7500 0.6250
I: 0.7500 0.2183 0.8750
I: 0.7500 0.2817 0.3750
I: 0.7817 0.7500 0.1250



The winner here is arrangement B, beating the second structure by 20 meV/atom.



Arrangement A

The following is a DFT calculation (PBE) of a relaxed BeW3I crystal.

M_tot ... 0.0 μB per formula unit
Calculated density ... 10.1 g/cm³

a b c (Å): 4.8388 4.8388 4.8388
angles (deg): 90.00 90.00 90.00
Fractional coordinates of all 5 atoms:
Be: 0.0000 0.0000 0.0000
W: 0.0000 0.5000 0.5000
W: 0.5000 0.0000 0.5000
W: 0.5000 0.5000 0.0000
I: 0.5000 0.5000 0.5000



Arrangement B

The following is a DFT calculation (PBE) of a relaxed BeW3I crystal.

M_tot ... 0.0 μB per formula unit
Calculated density ... 13.5 g/cm³

a b c (Å): 4.3918 4.3918 4.3918
angles (deg): 90.00 90.00 90.00
Fractional coordinates of all 5 atoms:
Be: 0.0000 0.0000 0.0000
W: 0.0000 0.0000 0.5000
W: 0.0000 0.5000 0.0000
W: 0.5000 0.0000 0.0000
I: 0.5000 0.5000 0.5000



The winner here is arrangement B, beating the second structure by 1522 meV/atom.



Arrangement A

The following is a DFT calculation (PBE) of a relaxed Be2WI crystal.

M_tot ... 0.0 μB per formula unit
Calculated density ... 8.5 g/cm³

a b c (Å): 6.7700 6.7700 5.6047
angles (deg): 90.00 90.00 90.00
Fractional coordinates of all 16 atoms:
Be: 0.2399 0.2500 0.1250
Be: 0.2500 0.7399 0.3750
Be: 0.2500 0.7601 0.8750
Be: 0.2601 0.2500 0.6250
Be: 0.7399 0.7500 0.6250
Be: 0.7500 0.2399 0.8750
Be: 0.7500 0.2601 0.3750
Be: 0.7601 0.7500 0.1250
W: 0.0000 0.0000 0.0000
W: 0.0000 0.5000 0.2500
W: 0.5000 0.0000 0.7500
W: 0.5000 0.5000 0.5000
I: 0.0000 0.0000 0.5000
I: 0.0000 0.5000 0.7500
I: 0.5000 0.0000 0.2500
I: 0.5000 0.5000 0.0000



Arrangement B

The following is a DFT calculation (PBE) of a relaxed Be2WI crystal.

M_tot ... 1.0 μB per formula unit
Calculated density ... 9.1 g/cm³

a b c (Å): 6.2240 6.2240 6.2240
angles (deg): 90.00 90.00 90.00
Fractional coordinates of all 16 atoms:
Be: 0.2500 0.2500 0.2500
Be: 0.2500 0.2500 0.7500
Be: 0.2500 0.7500 0.2500
Be: 0.2500 0.7500 0.7500
Be: 0.7500 0.2500 0.2500
Be: 0.7500 0.2500 0.7500
Be: 0.7500 0.7500 0.2500
Be: 0.7500 0.7500 0.7500
W: 0.0000 0.0000 0.0000
W: 0.0000 0.5000 0.5000
W: 0.5000 0.0000 0.5000
W: 0.5000 0.5000 0.0000
I: 0.0000 0.0000 0.5000
I: 0.0000 0.5000 0.0000
I: 0.5000 0.0000 0.0000
I: 0.5000 0.5000 0.5000



The winner here is arrangement A, beating the second structure by 211 meV/atom.



Arrangement A

The following is a DFT calculation (PBE) of a relaxed BeWI3 crystal.

M_tot ... 3.0 μB per formula unit
Calculated density ... 5.3 g/cm³

a b c (Å): 5.6316 5.6316 5.6316
angles (deg): 90.00 90.00 90.00
Fractional coordinates of all 5 atoms:
Be: 0.0000 0.0000 0.0000
W: 0.5000 0.5000 0.5000
I: 0.0000 0.5000 0.5000
I: 0.5000 0.0000 0.5000
I: 0.5000 0.5000 0.0000



Arrangement B

The following is a DFT calculation (PBE) of a relaxed BeWI3 crystal.

M_tot ... 4.7 μB per formula unit
Calculated density ... 6.6 g/cm³

a b c (Å): 5.2338 5.2338 5.2338
angles (deg): 90.00 90.00 90.00
Fractional coordinates of all 5 atoms:
Be: 0.0000 0.0000 0.0000
W: 0.5000 0.5000 0.5000
I: 0.0000 0.0000 0.5000
I: 0.0000 0.5000 0.0000
I: 0.5000 0.0000 0.0000



The winner here is arrangement A, beating the second structure by 163 meV/atom.



Arrangement A

The following is a DFT calculation (PBE) of a relaxed Y2BeI crystal.

M_tot ... 0.0 μB per formula unit
Calculated density ... 4.9 g/cm³

a b c (Å): 7.8066 7.8066 6.9740
angles (deg): 90.00 90.00 90.00
Fractional coordinates of all 16 atoms:
Y: 0.2163 0.7500 0.1250
Y: 0.2500 0.2163 0.8750
Y: 0.2500 0.2837 0.3750
Y: 0.2837 0.7500 0.6250
Y: 0.7163 0.2500 0.6250
Y: 0.7500 0.7163 0.3750
Y: 0.7500 0.7837 0.8750
Y: 0.7837 0.2500 0.1250
Be: 0.0000 0.0000 0.0000
Be: 0.0000 0.5000 0.2500
Be: 0.5000 0.0000 0.7500
Be: 0.5000 0.5000 0.5000
I: 0.0000 0.0000 0.5000
I: 0.0000 0.5000 0.7500
I: 0.5000 0.0000 0.2500
I: 0.5000 0.5000 0.0000



Arrangement B

The following is a DFT calculation (PBE) of a relaxed Y2BeI crystal.

M_tot ... 0.0 μB per formula unit
Calculated density ... 5.2 g/cm³

a b c (Å): 7.3614 7.3614 7.3614
angles (deg): 90.00 90.00 90.00
Fractional coordinates of all 16 atoms:
Y: 0.2500 0.2500 0.2500
Y: 0.2500 0.2500 0.7500
Y: 0.2500 0.7500 0.2500
Y: 0.2500 0.7500 0.7500
Y: 0.7500 0.2500 0.2500
Y: 0.7500 0.2500 0.7500
Y: 0.7500 0.7500 0.2500
Y: 0.7500 0.7500 0.7500
Be: 0.0000 0.0000 0.0000
Be: 0.0000 0.5000 0.5000
Be: 0.5000 0.0000 0.5000
Be: 0.5000 0.5000 0.0000
I: 0.0000 0.0000 0.5000
I: 0.0000 0.5000 0.0000
I: 0.5000 0.0000 0.0000
I: 0.5000 0.5000 0.5000



The winner here is arrangement B, beating the second structure by 45 meV/atom.



Arrangement A

The following is a DFT calculation (PBE) of a relaxed YBeI3 crystal.

M_tot ... 0.0 μB per formula unit
Calculated density ... 3.6 g/cm³

a b c (Å): 6.0378 6.0378 6.0378
angles (deg): 90.00 90.00 90.00
Fractional coordinates of all 5 atoms:
Y: 0.0000 0.0000 0.0000
Be: 0.5000 0.5000 0.5000
I: 0.0000 0.0000 0.5000
I: 0.0000 0.5000 0.0000
I: 0.5000 0.0000 0.0000



Arrangement B

The following is a DFT calculation (PBE) of a relaxed YBeI3 crystal.

M_tot ... 0.7 μB per formula unit
Calculated density ... 5.5 g/cm³

a b c (Å): 5.2494 5.2494 5.2494
angles (deg): 90.00 90.00 90.00
Fractional coordinates of all 5 atoms:
Y: 0.0000 0.0000 0.0000
Be: 0.5000 0.5000 0.5000
I: 0.0000 0.5000 0.5000
I: 0.5000 0.0000 0.5000
I: 0.5000 0.5000 0.0000



The winner here is arrangement A, beating the second structure by 197 meV/atom.



Arrangement A

The following is a DFT calculation (PBE) of a relaxed YBe3I crystal.

M_tot ... 0.0 μB per formula unit
Calculated density ... 3.7 g/cm³

a b c (Å): 4.7618 4.7618 4.7618
angles (deg): 90.00 90.00 90.00
Fractional coordinates of all 5 atoms:
Y: 0.0000 0.0000 0.0000
Be: 0.0000 0.5000 0.5000
Be: 0.5000 0.0000 0.5000
Be: 0.5000 0.5000 0.0000
I: 0.5000 0.5000 0.5000



Arrangement B

The following is a DFT calculation (PBE) of a relaxed YBe3I crystal.

M_tot ... 0.0 μB per formula unit
Calculated density ... 2.5 g/cm³

a b c (Å): 5.4561 5.4561 5.4561
angles (deg): 90.00 90.00 90.00
Fractional coordinates of all 5 atoms:
Y: 0.0000 0.0000 0.0000
Be: 0.0000 0.0000 0.5000
Be: 0.0000 0.5000 0.0000
Be: 0.5000 0.0000 0.0000
I: 0.5000 0.5000 0.5000



The winner here is arrangement A, beating the second structure by 371 meV/atom.



Arrangement A

The following is a DFT calculation (PBE) of a relaxed BeZn3I crystal.

M_tot ... 0.0 μB per formula unit
Calculated density ... 5.2 g/cm³

a b c (Å): 4.7243 4.7243 4.7243
angles (deg): 90.00 90.00 90.00
Fractional coordinates of all 5 atoms:
Be: 0.0000 0.0000 0.0000
Zn: 0.0000 0.0000 0.5000
Zn: 0.0000 0.5000 0.0000
Zn: 0.5000 0.0000 0.0000
I: 0.5000 0.5000 0.5000



Arrangement B

The following is a DFT calculation (PBE) of a relaxed BeZn3I crystal.

M_tot ... 0.0 μB per formula unit
Calculated density ... 2.4 g/cm³

a b c (Å): 6.1269 6.1269 6.1269
angles (deg): 90.00 90.00 90.00
Fractional coordinates of all 5 atoms:
Be: 0.0000 0.0000 0.0000
Zn: 0.0000 0.5000 0.5000
Zn: 0.5000 0.0000 0.5000
Zn: 0.5000 0.5000 0.0000
I: 0.5000 0.5000 0.5000



The winner here is arrangement A, beating the second structure by 997 meV/atom.



Arrangement A

The following is a DFT calculation (PBE) of a relaxed Be3ZnI crystal.

M_tot ... 0.0 μB per formula unit
Calculated density ... 3.3 g/cm³

a b c (Å): 4.7886 4.7886 4.7886
angles (deg): 90.00 90.00 90.00
Fractional coordinates of all 5 atoms:
Be: 0.0000 0.0000 0.5000
Be: 0.0000 0.5000 0.0000
Be: 0.5000 0.0000 0.0000
Zn: 0.5000 0.5000 0.5000
I: 0.0000 0.0000 0.0000



Arrangement B

The following is a DFT calculation (PBE) of a relaxed Be3ZnI crystal.

M_tot ... 0.0 μB per formula unit
Calculated density ... 4.2 g/cm³

a b c (Å): 4.4409 4.4409 4.4409
angles (deg): 90.00 90.00 90.00
Fractional coordinates of all 5 atoms:
Be: 0.0000 0.0000 0.5000
Be: 0.0000 0.5000 0.0000
Be: 0.5000 0.0000 0.0000
Zn: 0.0000 0.0000 0.0000
I: 0.5000 0.5000 0.5000



The winner here is arrangement B, beating the second structure by 790 meV/atom.



Arrangement A

The following is a DFT calculation (PBE) of a relaxed Zr2BeI crystal.

M_tot ... 0.0 μB per formula unit
Calculated density ... 4.9 g/cm³

a b c (Å): 5.9386 5.9386 12.3439
angles (deg): 90.00 90.00 90.00
Fractional coordinates of all 16 atoms:
Zr: 0.1693 0.2500 0.1250
Zr: 0.2500 0.6693 0.3750
Zr: 0.2500 0.8307 0.8750
Zr: 0.3307 0.2500 0.6250
Zr: 0.6693 0.7500 0.6250
Zr: 0.7500 0.1693 0.8750
Zr: 0.7500 0.3307 0.3750
Zr: 0.8307 0.7500 0.1250
Be: 0.0000 0.0000 0.0000
Be: 0.0000 0.5000 0.2500
Be: 0.5000 0.0000 0.7500
Be: 0.5000 0.5000 0.5000
I: 0.0000 0.0000 0.5000
I: 0.0000 0.5000 0.7500
I: 0.5000 0.0000 0.2500
I: 0.5000 0.5000 0.0000



Arrangement B

The following is a DFT calculation (PBE) of a relaxed Zr2BeI crystal.

M_tot ... 0.0 μB per formula unit
Calculated density ... 6.6 g/cm³

a b c (Å): 6.8561 6.8561 6.8561
angles (deg): 90.00 90.00 90.00
Fractional coordinates of all 16 atoms:
Zr: 0.2500 0.2500 0.2500
Zr: 0.2500 0.2500 0.7500
Zr: 0.2500 0.7500 0.2500
Zr: 0.2500 0.7500 0.7500
Zr: 0.7500 0.2500 0.2500
Zr: 0.7500 0.2500 0.7500
Zr: 0.7500 0.7500 0.2500
Zr: 0.7500 0.7500 0.7500
Be: 0.0000 0.0000 0.0000
Be: 0.0000 0.5000 0.5000
Be: 0.5000 0.0000 0.5000
Be: 0.5000 0.5000 0.0000
I: 0.0000 0.0000 0.5000
I: 0.0000 0.5000 0.0000
I: 0.5000 0.0000 0.0000
I: 0.5000 0.5000 0.5000



The winner here is arrangement B, beating the second structure by 301 meV/atom.



Arrangement A

The following is a DFT calculation (PBE) of a relaxed ZrBe3I crystal.

M_tot ... 0.0 μB per formula unit
Calculated density ... 3.3 g/cm³

a b c (Å): 4.9995 4.9995 4.9995
angles (deg): 90.00 90.00 90.00
Fractional coordinates of all 5 atoms:
Zr: 0.0000 0.0000 0.0000
Be: 0.0000 0.0000 0.5000
Be: 0.0000 0.5000 0.0000
Be: 0.5000 0.0000 0.0000
I: 0.5000 0.5000 0.5000



Arrangement B

The following is a DFT calculation (PBE) of a relaxed ZrBe3I crystal.

M_tot ... 0.0 μB per formula unit
Calculated density ... 4.2 g/cm³

a b c (Å): 4.6028 4.6028 4.6028
angles (deg): 90.00 90.00 90.00
Fractional coordinates of all 5 atoms:
Zr: 0.0000 0.0000 0.0000
Be: 0.0000 0.5000 0.5000
Be: 0.5000 0.0000 0.5000
Be: 0.5000 0.5000 0.0000
I: 0.5000 0.5000 0.5000



The winner here is arrangement B, beating the second structure by 46 meV/atom.



Arrangement A

The following is a DFT calculation (PBE) of a relaxed BeIn2 crystal.

M_tot ... 0.0 μB per formula unit
Calculated density ... 6.3 g/cm³

a b c (Å): 3.9254 4.8523 6.6771
angles (deg): 79.11 89.90 90.00
Fractional coordinates of all 6 atoms:
Be: 0.2500 0.1145 0.4702
Be: 0.7500 0.8855 0.5298
In: 0.2487 0.8020 0.8470
In: 0.2509 0.6576 0.3152
In: 0.7491 0.3424 0.6848
In: 0.7513 0.1980 0.1530



Arrangement B

The following is a DFT calculation (PBE) of a relaxed BeIn2 crystal.

M_tot ... 0.0 μB per formula unit
Calculated density ... 6.4 g/cm³

a b c (Å): 3.4307 3.4307 6.0589
angles (deg): 90.00 90.00 120.00
Fractional coordinates of all 3 atoms:
Be: 0.0000 0.0000 0.0000
In: 0.3333 0.6667 0.2910
In: 0.6667 0.3333 0.7090



Arrangement C

The following is a DFT calculation (PBE) of a relaxed BeIn2 crystal.

M_tot ... 0.0 μB per formula unit
Calculated density ... 6.5 g/cm³

a b c (Å): 3.1408 3.1408 12.4086
angles (deg): 90.00 90.00 90.00
Fractional coordinates of all 6 atoms:
Be: 0.0000 0.0000 0.0000
Be: 0.5000 0.5000 0.5000
In: 0.0000 0.0000 0.3584
In: 0.0000 0.0000 0.6416
In: 0.5000 0.5000 0.1416
In: 0.5000 0.5000 0.8584



The winner here is arrangement A, beating the second structure by 153 meV/atom.